VASP calculation (GGA-PBE) on an optimized crystal structure of UTeSe.

Its magnetization is 2.0 μB per cell. The formation energy from raw total energies comes out at -723.2 meV/atom. The symmetry is No. 216. The density of states at the Fermi level comes out at 3.94 states/eV per atom.

Lattice parameters (Å, degrees): 5.030 5.030 5.030 60.00 60.00 60.00
Positions (direct):
U 0.000 0.000 0.000
Te 0.750 0.750 0.750
Se 0.250 0.250 0.250

---

VASP calculation (GGA-PBE) on an optimized crystal structure of U6TeSe12.

Its magnetization is 10.0 μB per cell. The formation energy from raw total energies comes out at -927.6 meV/atom. The symmetry is No. 166. The density of states at the Fermi level comes out at 1.99 states/eV per atom.

Lattice parameters (Å, degrees): 8.330 8.330 8.330 103.74 103.74 103.74
Positions (direct):
U 0.252 0.252 0.672
U 0.252 0.672 0.252
U 0.328 0.748 0.748
U 0.672 0.252 0.252
U 0.748 0.328 0.748
U 0.748 0.748 0.328
Te 0.000 0.000 0.000
Se 0.127 0.500 0.873
Se 0.127 0.873 0.500
Se 0.186 0.449 0.449
Se 0.449 0.186 0.449
Se 0.449 0.449 0.186
Se 0.500 0.127 0.873
Se 0.500 0.873 0.127
Se 0.551 0.551 0.814
Se 0.551 0.814 0.551
Se 0.814 0.551 0.551
Se 0.873 0.127 0.500
Se 0.873 0.500 0.127

---

VASP calculation (GGA-PBE) on an optimized crystal structure of U2TeSe.

Its magnetization is 13.0 μB per cell. The formation energy from raw total energies comes out at -630.3 meV/atom. The symmetry is No. 59. The density of states at the Fermi level comes out at 2.16 states/eV per atom.

Lattice parameters (Å, degrees): 3.872 8.044 6.822 90.00 90.00 90.00
Positions (direct):
U 0.250 0.002 0.223
U 0.250 0.498 0.223
U 0.750 0.502 0.777
U 0.750 0.998 0.777
Te 0.250 0.250 0.576
Te 0.750 0.750 0.424
Se 0.250 0.750 0.911
Se 0.750 0.250 0.089

---

VASP calculation (GGA-PBE) on an optimized crystal structure of UTeSe.

Its magnetization is 2.0 μB per cell. The formation energy from raw total energies comes out at -820.6 meV/atom. The symmetry is No. 107. The density of states at the Fermi level comes out at 1.60 states/eV per atom.

Lattice parameters (Å, degrees): 5.854 5.854 5.854 142.39 142.39 54.24
Positions (direct):
U 0.000 0.000 0.000
Te 0.670 0.670 0.000
Se 0.372 0.372 0.000

---

VASP calculation (GGA-PBE) on an optimized crystal structure of U2TeSe3.

Its magnetization is 10.3 μB per cell. The formation energy from raw total energies comes out at -1028.8 meV/atom. The symmetry is No. 15. The density of states at the Fermi level comes out at 2.32 states/eV per atom.

Lattice parameters (Å, degrees): 7.480 7.480 8.064 105.65 105.65 45.20
Positions (direct):
U 0.141 0.144 0.071
U 0.144 0.141 0.571
U 0.856 0.859 0.429
U 0.859 0.856 0.929
Te 0.276 0.724 0.750
Te 0.724 0.276 0.250
Se 0.225 0.775 0.250
Se 0.295 0.297 0.398
Se 0.297 0.295 0.898
Se 0.703 0.705 0.102
Se 0.705 0.703 0.602
Se 0.775 0.225 0.750

---

VASP calculation (GGA-PBE) on an optimized crystal structure of UTeSe.

Its magnetization is 8.0 μB per cell. The formation energy from raw total energies comes out at -795.6 meV/atom. The symmetry is No. 14. The density of states at the Fermi level comes out at 1.85 states/eV per atom.

Lattice parameters (Å, degrees): 7.682 8.145 7.702 90.00 116.10 90.00
Positions (direct):
U 0.228 0.126 0.479
U 0.228 0.374 0.979
U 0.772 0.626 0.021
U 0.772 0.874 0.521
Te 0.461 0.100 0.245
Te 0.461 0.400 0.745
Te 0.539 0.600 0.255
Te 0.539 0.900 0.755
Se 0.008 0.147 0.689
Se 0.008 0.353 0.189
Se 0.992 0.647 0.811
Se 0.992 0.853 0.311